A plane-wave DFT calculation with PBE was carried out for a relaxed KCuSb2 crystal.

Properties
SG: Immm
Offset from the most stable computed form: 121 meV per atom
Uncorrected formation energy: 1.1 kJ/mol of atoms
M_tot: 0.00 μB per atom

Cell lengths 6.3902, 6.3902, 6.3902 Å; angles 149.88, 120.67, 67.97 degrees
Closest atoms and distances in Å follow each position.
Atoms (fractional coordinates):
Cu 0.7500 0.2500 0.5000  4 Sb 2.63
K 0.2500 0.7500 0.5000  2 K 3.32, 4 Cu 3.57, 4 Sb 3.65
Sb 0.5571 0.5571 0.0000  2 Cu 2.63
Sb 0.9429 0.9429 0.0000  2 Cu 2.63



A plane-wave DFT calculation with PBE was carried out for a relaxed KCuSb2 crystal.

Properties
SG: I4/mmm
Offset from the most stable computed form: 385 meV per atom
Uncorrected formation energy: 26.6 kJ/mol of atoms
M_tot: 0.00 μB per atom

Cell lengths 5.9472, 5.9472, 5.9472 Å; angles 134.44, 134.44, 66.40 degrees
Closest atoms and distances in Å follow each position.
Atoms (fractional coordinates):
Sb 0.5000 0.5000 0.0000  4 Sb 3.26, 4 Cu 3.39, 4 K 3.39
Sb 0.0000 0.0000 0.0000  4 Sb 3.26, 4 K 3.39, 4 Cu 3.39
K 0.7500 0.2500 0.5000  4 Cu 3.26, 8 Sb 3.39
Cu 0.2500 0.7500 0.5000  4 K 3.26, 8 Sb 3.39



A plane-wave DFT calculation with PBE was carried out for a relaxed KCuSb crystal.

Properties
SG: F-43m
Offset from the most stable computed form: 1083 meV per atom
Uncorrected formation energy: 84.4 kJ/mol of atoms
M_tot: 0.33 μB per atom

Cell lengths 5.2446, 5.2446, 5.2446 Å; angles 60.00, 60.00, 60.00 degrees
Closest atoms and distances in Å follow each position.
Atoms (fractional coordinates):
Sb 0.0000 0.0000 0.0000  4 K 3.21
Cu 0.5000 0.5000 0.5000  4 K 3.21
K 0.7500 0.7500 0.7500  4 Sb 3.21, 4 Cu 3.21



A plane-wave DFT calculation with PBE was carried out for a relaxed KCuSb2 crystal.

Properties
SG: P4/mmm
Offset from the most stable computed form: 336 meV per atom
Uncorrected formation energy: 21.8 kJ/mol of atoms
M_tot: 0.00 μB per atom

Cell lengths 4.6358, 4.6336, 4.7615 Å; angles 90.00, 90.00, 90.00 degrees
Closest atoms and distances in Å follow each position.
Atoms (fractional coordinates):
Cu 0.5000 0.0000 0.5000  4 K 3.28, 8 Sb 3.32
K 0.0000 0.5000 0.5000  4 Cu 3.28, 8 Sb 3.32
Sb 0.5000 0.5000 0.0000  4 Sb 3.28, 4 Cu 3.32, 4 K 3.32
Sb 0.0000 0.0000 0.0000  4 Sb 3.28, 4 K 3.32, 4 Cu 3.32



A plane-wave DFT calculation with PBE was carried out for a relaxed KCuSb crystal.

Properties
SG: P3m1
Offset from the most stable computed form: 14 meV per atom
Uncorrected formation energy: -18.7 kJ/mol of atoms
M_tot: 0.00 μB per atom

Cell lengths 4.3840, 4.3840, 5.4516 Å; angles 90.00, 90.00, 120.00 degrees
Closest atoms and distances in Å follow each position.
Atoms (fractional coordinates):
Cu 0.0000 0.0000 0.8343  3 Sb 2.53
Sb 0.3333 0.6667 0.8327  3 Cu 2.53
K 0.6667 0.3333 0.3330  6 Cu 3.71-3.73, 6 Sb 3.72



A plane-wave DFT calculation with PBE was carried out for a relaxed KCuSb2 crystal.

Properties
SG: Pmmm
Offset from the most stable computed form: 121 meV per atom
Uncorrected formation energy: 1.1 kJ/mol of atoms
M_tot: 0.00 μB per atom

Cell lengths 3.5478, 3.7641, 7.8843 Å; angles 90.00, 90.00, 90.00 degrees
Closest atoms and distances in Å follow each position.
Atoms (fractional coordinates):
Sb 0.0000 0.0000 0.4284  1 Sb 2.81, 4 Cu 2.94
Sb 0.0000 0.0000 0.0716  1 Sb 2.81, 4 Cu 2.94
K 0.5000 0.5000 0.7500  4 K 3.55-3.76, 8 Sb 3.62, 2 Cu 3.94
Cu 0.5000 0.5000 0.2500  8 Sb 2.94



Number 1 is which compound?
KCuSb2